Tb7Y2Th2 | PBE-GGA | optimized geometry

a b c (Å): 9.489 6.876 6.876
angles (deg): 122.77 90.00 90.00
Positions (direct):
Tb1 0.682 0.000 0.500
Tb2 0.318 0.500 0.000
Tb3 0.318 0.000 0.500
Tb4 0.682 0.500 0.000
Tb5 0.000 0.000 0.000
Tb6 0.192 0.500 0.500
Tb7 0.808 0.500 0.500
Y1 0.000 0.723 0.277
Y2 0.000 0.277 0.723
Th1 0.500 0.747 0.747
Th2 0.500 0.253 0.253

ΔE_f in eV per formula unit: 4.409
Density in g/cm3: 7.7
Distance to the lowest polymorph of the same formula in eV per atom: 0.223
Space-group type: No. 65
Energy in Ry/atom: -0.3726
DOS(E_F) in states/eV per cell: 18.1

Tb8Y3Th2 | PBE-GGA | optimized geometry

a b c (Å): 5.683 7.388 11.027
angles (deg): 109.55 90.00 90.00
Positions (direct):
Tb1 0.000 0.668 0.336
Tb2 0.000 0.332 0.664
Tb3 0.000 0.139 0.279
Tb4 0.000 0.861 0.721
Tb5 0.500 0.607 0.782
Tb6 0.500 0.175 0.782
Tb7 0.500 0.825 0.218
Tb8 0.500 0.393 0.218
Y1 0.500 0.000 0.000
Y2 0.000 0.275 0.000
Y3 0.000 0.725 0.000
Th1 0.500 0.245 0.490
Th2 0.500 0.755 0.510

ΔE_f in eV per formula unit: 3.537
Density in g/cm3: 7.6
Distance to the lowest polymorph of the same formula in eV per atom: 0.123
Space-group type: No. 65
Energy in Ry/atom: -0.3830
DOS(E_F) in states/eV per cell: 22.9

Tb6Y12Th | PBE-GGA | optimized geometry

a b c (Å): 8.565 8.565 8.565
angles (deg): 88.42 88.42 88.42
Positions (direct):
Tb1 0.745 0.909 0.308
Tb2 0.692 0.255 0.091
Tb3 0.091 0.692 0.255
Tb4 0.255 0.091 0.692
Tb5 0.308 0.745 0.909
Tb6 0.909 0.308 0.745
Y1 0.776 0.542 0.439
Y2 0.439 0.776 0.542
Y3 0.542 0.439 0.776
Y4 0.224 0.458 0.561
Y5 0.561 0.224 0.458
Y6 0.458 0.561 0.224
Y7 0.010 0.205 0.352
Y8 0.795 0.648 0.990
Y9 0.648 0.990 0.795
Y10 0.990 0.795 0.648
Y11 0.205 0.352 0.010
Y12 0.352 0.010 0.205
Th1 0.000 0.000 0.000

ΔE_f in eV per formula unit: 2.688
Density in g/cm3: 6.0
Distance to the lowest polymorph of the same formula in eV per atom: 0.008
Space-group type: No. 148
Energy in Ry/atom: -0.4258
DOS(E_F) in states/eV per cell: 33.6

Tb11Y9Th4 | PBE-GGA | optimized geometry

a b c (Å): 3.705 15.205 15.205
angles (deg): 112.61 90.00 90.00
Positions (direct):
Tb1 0.000 0.590 0.952
Tb2 0.000 0.410 0.048
Tb3 0.000 0.952 0.590
Tb4 0.000 0.048 0.410
Tb5 0.000 0.635 0.365
Tb6 0.000 0.365 0.635
Tb7 0.000 0.842 0.158
Tb8 0.000 0.158 0.842
Tb9 0.000 0.000 0.000
Tb10 0.000 0.711 0.711
Tb11 0.000 0.289 0.289
Y1 0.500 0.635 0.162
Y2 0.500 0.365 0.838
Y3 0.500 0.162 0.635
Y4 0.500 0.838 0.365
Y5 0.500 0.788 0.934
Y6 0.500 0.212 0.066
Y7 0.500 0.934 0.788
Y8 0.500 0.066 0.212
Y9 0.500 0.500 0.500
Th1 0.500 0.554 0.756
Th2 0.500 0.446 0.244
Th3 0.500 0.756 0.554
Th4 0.500 0.244 0.446

ΔE_f in eV per formula unit: 2.429
Density in g/cm3: 7.3
Space-group type: No. 65
Energy in Ry/atom: -0.4176
DOS(E_F) in states/eV per cell: 35.6

Tb7Y2Th2 | PBE-GGA | optimized geometry

a b c (Å): 6.125 7.998 7.998
angles (deg): 91.23 73.95 73.95
Positions (direct):
Tb1 0.170 0.063 0.589
Tb2 0.830 0.411 0.937
Tb3 0.830 0.937 0.411
Tb4 0.170 0.589 0.063
Tb5 0.000 0.000 0.000
Tb6 0.582 0.761 0.761
Tb7 0.418 0.239 0.239
Y1 0.500 0.216 0.784
Y2 0.500 0.784 0.216
Th1 0.808 0.418 0.418
Th2 0.192 0.582 0.582

ΔE_f in eV per formula unit: 1.952
Density in g/cm3: 8.1
Distance to the lowest polymorph of the same formula in eV per atom: 0.000
Space-group type: No. 12
Energy in Ry/atom: -0.3891
DOS(E_F) in states/eV per cell: 17.1

Tb5Y12Th2 | PBE-GGA | optimized geometry

a b c (Å): 8.777 10.092 11.343
angles (deg): 132.03 109.66 95.30
Positions (direct):
Tb1 0.406 0.643 0.646
Tb2 0.323 0.828 0.429
Tb3 0.000 0.000 0.500
Tb4 0.677 0.172 0.571
Tb5 0.594 0.357 0.354
Y1 0.818 0.679 0.885
Y2 0.164 0.552 0.964
Y3 0.427 0.385 0.769
Y4 0.994 0.638 0.464
Y5 0.770 0.913 0.691
Y6 0.409 0.113 0.863
Y7 0.591 0.887 0.137
Y8 0.006 0.362 0.536
Y9 0.230 0.087 0.309
Y10 0.836 0.448 0.036
Y11 0.573 0.615 0.231
Y12 0.182 0.321 0.115
Th1 0.806 0.121 0.084
Th2 0.194 0.879 0.916

ΔE_f in eV per formula unit: 2.000
Density in g/cm3: 6.2
Distance to the lowest polymorph of the same formula in eV per atom: 0.000
Space-group type: No. 2
Energy in Ry/atom: -0.4393
DOS(E_F) in states/eV per cell: 30.3

Tb8Y5Th | PBE-GGA | optimized geometry

a b c (Å): 8.468 8.468 8.468
angles (deg): 110.73 106.99 110.73
Each line ends with the local moment (μB).
Positions (direct):
Tb1 0.153 0.729 0.073  0.03
Tb2 0.927 0.080 0.656  0.03
Tb3 0.739 0.261 0.342  0.01
Tb4 0.658 0.396 0.919  0.01
Tb5 0.523 0.604 0.261  0.01
Tb6 0.577 0.920 0.847  0.03
Tb7 0.344 0.271 0.423  0.03
Tb8 0.081 0.739 0.477  0.01
Y1 0.034 0.321 0.128  0.00
Y2 0.872 0.906 0.193  0.00
Y3 0.807 0.679 0.713  0.00
Y4 0.500 0.000 0.500  0.00
Y5 0.287 0.094 0.966  0.00
Th1 0.250 0.500 0.750  0.09

ΔE_f in eV per formula unit: 4.121
Density in g/cm3: 6.9
Space-group type: No. 82
Energy in Ry/atom: -0.3815
DOS(E_F) in states/eV per cell: 25.1

Tb2YTh6 | PBE-GGA | optimized geometry

a b c (Å): 3.547 3.547 26.955
angles (deg): 90.00 90.00 120.00
Positions (direct):
Tb1 0.333 0.667 0.670
Tb2 0.333 0.667 0.330
Y1 0.667 0.333 0.000
Th1 0.333 0.667 0.110
Th2 0.667 0.333 0.562
Th3 0.667 0.333 0.219
Th4 0.667 0.333 0.781
Th5 0.667 0.333 0.438
Th6 0.333 0.667 0.890

ΔE_f in eV per formula unit: 0.778
Density in g/cm3: 10.2
Space-group type: No. 187
Energy in Ry/atom: -0.4856
DOS(E_F) in states/eV per cell: 14.9

Tb8YTh2 | PBE-GGA | optimized geometry

a b c (Å): 6.644 6.625 9.007
angles (deg): 111.58 99.01 90.00
Positions (direct):
Tb1 0.596 0.173 0.825
Tb2 0.404 0.348 0.175
Tb3 0.816 0.199 0.398
Tb4 0.184 0.801 0.602
Tb5 0.596 0.652 0.825
Tb6 0.404 0.827 0.175
Tb7 0.097 0.409 0.818
Tb8 0.903 0.591 0.182
Y1 0.000 0.000 0.000
Th1 0.334 0.247 0.493
Th2 0.666 0.753 0.507

ΔE_f in eV per formula unit: 1.984
Density in g/cm3: 8.3
Distance to the lowest polymorph of the same formula in eV per atom: 0.000
Space-group type: No. 12
Energy in Ry/atom: -0.3766
DOS(E_F) in states/eV per cell: 15.8

Tb4Y5Th4 | PBE-GGA | optimized geometry

a b c (Å): 5.060 9.455 9.455
angles (deg): 85.89 74.48 74.48
Positions (direct):
Tb1 0.766 0.387 0.080
Tb2 0.234 0.613 0.920
Tb3 0.847 0.920 0.387
Tb4 0.153 0.080 0.613
Y1 0.695 0.843 0.766
Y2 0.305 0.157 0.234
Y3 0.000 0.000 0.000
Y4 0.538 0.766 0.157
Y5 0.462 0.234 0.843
Th1 0.925 0.462 0.688
Th2 0.613 0.312 0.462
Th3 0.075 0.538 0.312
Th4 0.387 0.688 0.538

ΔE_f in eV per formula unit: 0.411
Density in g/cm3: 7.9
Space-group type: No. 87
Energy in Ry/atom: -0.4529
DOS(E_F) in states/eV per cell: 18.5

TbY8Th4 | PBE-GGA | optimized geometry

a b c (Å): 7.401 7.401 9.931
angles (deg): 90.00 111.88 120.00
Positions (direct):
Tb1 0.000 0.500 0.500
Y1 0.560 0.780 0.340
Y2 0.440 0.220 0.660
Y3 0.500 0.250 0.306
Y4 0.943 0.193 0.694
Y5 0.500 0.750 0.694
Y6 0.943 0.750 0.694
Y7 0.057 0.250 0.306
Y8 0.057 0.807 0.306
Th1 0.000 0.000 0.000
Th2 0.000 0.500 0.000
Th3 0.500 0.500 0.000
Th4 0.500 0.000 0.000

ΔE_f in eV per formula unit: 2.918
Density in g/cm3: 7.0
Space-group type: No. 166
Energy in Ry/atom: -0.4699
DOS(E_F) in states/eV per cell: 14.8

Tb9YTh2 | PBE-GGA | optimized geometry

a b c (Å): 5.045 5.045 15.076
angles (deg): 90.00 90.00 90.00
Positions (direct):
Tb1 0.500 0.500 0.000
Tb2 0.500 0.500 0.333
Tb3 0.500 0.500 0.667
Tb4 0.500 0.000 0.169
Tb5 0.500 0.000 0.500
Tb6 0.500 0.000 0.831
Tb7 0.000 0.500 0.169
Tb8 0.000 0.500 0.500
Tb9 0.000 0.500 0.831
Y1 0.000 0.000 0.000
Th1 0.000 0.000 0.334
Th2 0.000 0.000 0.666

ΔE_f in eV per formula unit: 0.402
Density in g/cm3: 8.6
Space-group type: No. 123
Energy in Ry/atom: -0.3833
DOS(E_F) in states/eV per cell: 17.2

TbY3Th | PBE-GGA | optimized geometry

a b c (Å): 6.282 9.581 9.250
angles (deg): 137.82 90.22 108.89
Positions (direct):
Tb1 0.632 0.094 0.246
Tb2 0.368 0.906 0.754
Y1 0.839 0.500 0.244
Y2 0.773 0.701 0.745
Y3 0.442 0.703 0.257
Y4 0.558 0.297 0.743
Y5 0.161 0.500 0.756
Y6 0.227 0.299 0.255
Th1 0.977 0.096 0.748
Th2 0.023 0.904 0.252

ΔE_f in eV per formula unit: 0.153
Density in g/cm3: 6.7
Distance to the lowest polymorph of the same formula in eV per atom: 0.000
Space-group type: No. 2
Energy in Ry/atom: -0.4599
DOS(E_F) in states/eV per cell: 17.1

Tb10YTh4 | PBE-GGA | optimized geometry

a b c (Å): 10.724 8.717 8.717
angles (deg): 67.77 52.04 52.04
Positions (direct):
Tb1 0.250 0.500 0.500
Tb2 0.544 0.328 0.903
Tb3 0.129 0.097 0.328
Tb4 0.553 0.903 0.672
Tb5 0.774 0.672 0.097
Tb6 0.456 0.672 0.097
Tb7 0.750 0.500 0.500
Tb8 0.226 0.328 0.903
Tb9 0.447 0.097 0.328
Tb10 0.871 0.903 0.672
Y1 0.000 0.000 0.000
Th1 0.339 0.726 0.596
Th2 0.935 0.404 0.726
Th3 0.065 0.596 0.274
Th4 0.661 0.274 0.404

ΔE_f in eV per formula unit: 5.801
Density in g/cm3: 8.5
Space-group type: No. 87
Energy in Ry/atom: -0.3756
DOS(E_F) in states/eV per cell: 23.9

Tb5Y6Th2 | PBE-GGA | optimized geometry

a b c (Å): 3.576 11.601 20.618
angles (deg): 90.00 90.00 90.00
Positions (direct):
Tb1 0.500 0.305 0.429
Tb2 0.500 0.695 0.571
Tb3 0.500 0.805 0.071
Tb4 0.500 0.195 0.929
Tb5 0.500 0.576 0.289
Tb6 0.500 0.424 0.711
Tb7 0.500 0.076 0.211
Tb8 0.500 0.924 0.789
Tb9 0.500 0.500 0.000
Tb10 0.500 0.000 0.500
Y1 0.000 0.069 0.356
Y2 0.000 0.931 0.644
Y3 0.000 0.569 0.144
Y4 0.000 0.431 0.856
Y5 0.500 0.316 0.124
Y6 0.500 0.684 0.876
Y7 0.500 0.816 0.376
Y8 0.500 0.184 0.624
Y9 0.000 0.572 0.433
Y10 0.000 0.428 0.567
Y11 0.000 0.072 0.067
Y12 0.000 0.928 0.933
Th1 0.000 0.319 0.270
Th2 0.000 0.681 0.730
Th3 0.000 0.819 0.230
Th4 0.000 0.181 0.770

ΔE_f in eV per formula unit: 1.506
Density in g/cm3: 7.0
Space-group type: No. 55
Energy in Ry/atom: -0.4256
DOS(E_F) in states/eV per cell: 38.9

TbYTh2 | PBE-GGA | optimized geometry

a b c (Å): 5.058 5.067 11.289
angles (deg): 90.00 116.55 90.00
Positions (direct):
Tb1 0.869 0.750 0.370
Tb2 0.131 0.250 0.630
Y1 0.370 0.250 0.370
Y2 0.630 0.750 0.630
Th1 0.623 0.250 0.122
Th2 0.377 0.750 0.878
Th3 0.122 0.750 0.122
Th4 0.878 0.250 0.878

ΔE_f in eV per formula unit: 0.120
Density in g/cm3: 9.1
Distance to the lowest polymorph of the same formula in eV per atom: 0.000
Space-group type: No. 11
Energy in Ry/atom: -0.4743
DOS(E_F) in states/eV per cell: 14.1

Tb5Y3Th2 | PBE-GGA | optimized geometry

a b c (Å): 9.017 9.024 11.177
angles (deg): 121.31 121.29 73.30
Positions (direct):
Tb1 0.279 0.529 0.058
Tb2 0.721 0.471 0.942
Tb3 0.029 0.779 0.559
Tb4 0.531 0.281 0.563
Tb5 0.971 0.221 0.441
Tb6 0.469 0.719 0.437
Tb7 0.874 0.623 0.746
Tb8 0.126 0.377 0.254
Tb9 0.372 0.123 0.746
Tb10 0.628 0.877 0.254
Y1 0.219 0.969 0.938
Y2 0.781 0.031 0.062
Y3 0.730 0.481 0.251
Y4 0.270 0.519 0.749
Y5 0.021 0.770 0.251
Y6 0.979 0.230 0.749
Th1 0.760 0.011 0.749
Th2 0.240 0.989 0.251
Th3 0.489 0.738 0.749
Th4 0.511 0.262 0.251

ΔE_f in eV per formula unit: 2.176
Density in g/cm3: 7.6
Space-group type: No. 15
Energy in Ry/atom: -0.4058
DOS(E_F) in states/eV per cell: 31.1

Tb2Y8Th | PBE-GGA | optimized geometry

a b c (Å): 5.398 8.401 8.401
angles (deg): 104.82 90.03 90.03
Positions (direct):
Tb1 0.000 0.380 0.620
Tb2 0.000 0.620 0.380
Y1 0.000 0.967 0.703
Y2 0.000 0.703 0.967
Y3 0.500 0.666 0.666
Y4 0.500 0.747 0.253
Y5 0.500 0.253 0.747
Y6 0.500 0.334 0.334
Y7 0.000 0.297 0.033
Y8 0.000 0.033 0.297
Th1 0.500 0.000 0.000

ΔE_f in eV per formula unit: 1.932
Density in g/cm3: 5.7
Distance to the lowest polymorph of the same formula in eV per atom: 0.145
Space-group type: No. 65
Energy in Ry/atom: -0.4441
DOS(E_F) in states/eV per cell: 18.3